# 1
Density functional theory data (PBE-GGA) for a relaxed structure of FeRuCl2.

The value obtained for the total magnetization is 9.907 Bohr magnetons per cell. The raw formation energy comes out at 0.275 eV per atom. The polymorph energy (0 for the lowest one) is 327 meV per atom.

The structure belongs to space group Imm2 (No. 44); the cell edges are 3.0933, 3.7585 and 14.4394 Å and the angles 90.00°, 90.00° and 90.00°. The distinct sites, in fractional coordinates, are Fe at (0.0000, 0.0000, 0.0000), Ru at (0.0000, 0.5000, 0.6331), Cl at (0.0000, 0.0000, 0.4289) and Cl at (0.0000, 0.5000, 0.1788).

---

# 2
Density functional theory data (PBE-GGA) for a relaxed structure of Fe2RuCl.

The value obtained for the total magnetization is 5.220 Bohr magnetons per cell. The raw formation energy comes out at 0.255 eV per atom. The polymorph energy (0 for the lowest one) is 0 meV per atom.

The structure belongs to space group Pmm2 (No. 25); the cell edges are 2.9377, 3.0090 and 6.8074 Å and the angles 90.00°, 90.00° and 90.00°. The distinct sites, in fractional coordinates, are Fe at (0.0000, 0.0000, 0.0000), Fe at (0.5000, 0.5000, 0.2062), Ru at (0.0000, 0.0000, 0.3972) and Cl at (0.5000, 0.0000, 0.7190).

---

# 3
Density functional theory data (PBE-GGA) for a relaxed structure of Fe2RuCl.

The value obtained for the total magnetization is 10.831 Bohr magnetons per cell. The raw formation energy comes out at 0.430 eV per atom. The polymorph energy (0 for the lowest one) is 175 meV per atom.

The structure belongs to space group Cm (No. 8); the cell edges are 7.7795, 2.8529 and 6.4311 Å and the angles 90.00°, 93.10° and 90.00°. The distinct sites, in fractional coordinates, are Fe at (0.0000, 0.0000, 0.0000), Fe at (0.2216, 0.5000, 0.1764), Ru at (0.4510, 0.0000, 0.3342) and Cl at (0.4572, 0.5000, 0.6503).

---

# 4
Density functional theory data (PBE-GGA) for a relaxed structure of Fe3RuCl.

The value obtained for the total magnetization is 8.786 Bohr magnetons per cell. The raw formation energy comes out at 0.932 eV per atom. The polymorph energy (0 for the lowest one) is 0 meV per atom.

The structure belongs to space group Pm-3m (No. 221); the cell edges are 4.1265, 4.1265 and 4.1265 Å and the angles 90.00°, 90.00° and 90.00°. The distinct sites, in fractional coordinates, are Fe at (0.0000, 0.0000, 0.5000), Ru at (0.5000, 0.5000, 0.5000) and Cl at (0.0000, 0.0000, 0.0000).